Record 1
Computed, not measured: a relaxed structure of RbMoH2Cl8 at the PBE-GGA level of DFT.

Unit cell a=6.605 b=6.697 c=9.124 alpha=106.64 beta=79.09 gamma=104.30
Positions (direct):
Cl 0.903 0.220 0.878
Cl 0.344 0.206 0.995
Cl 0.097 0.780 0.122
Cl 0.095 0.774 0.759
Cl 0.495 0.294 0.625
Cl 0.656 0.794 0.005
Cl 0.505 0.706 0.375
Cl 0.905 0.226 0.241
Mo 0.000 0.000 0.000
H 0.440 0.270 0.766
H 0.560 0.730 0.234
Rb 0.000 0.000 0.500

ρ, g cm⁻³: 2.09
Magnetization, μB per formula unit: 1.001
Final energy, eV/atom: -3.6860
Space group: P-1

---

Record 2
Computed, not measured: a relaxed structure of Ac8Tc2Ir at the PBE-GGA level of DFT.

Unit cell a=7.202 b=8.299 c=8.657 alpha=121.45 beta=90.02 gamma=105.05
Positions (direct):
Ac 0.742 0.738 0.109
Ac 0.254 0.770 0.385
Ac 0.742 0.738 0.629
Ac 0.751 0.260 0.130
Ac 0.746 0.230 0.615
Ac 0.249 0.740 0.870
Ac 0.258 0.262 0.891
Ac 0.258 0.262 0.371
Ir 0.000 0.000 0.000
Tc 0.478 0.427 0.713
Tc 0.522 0.573 0.287

ρ, g cm⁻³: 8.71
Magnetization, μB per formula unit: 0.000
Space group: C2/m
E_form, eV per atom: -0.0376

---

Record 3
Computed, not measured: a relaxed structure of GdY2Tm at the PBE-GGA level of DFT.

Unit cell a=3.552 b=3.552 c=10.080 alpha=90.00 beta=90.00 gamma=90.00
Positions (direct):
Gd 0.500 0.500 0.500
Y 0.000 0.000 0.754
Y 0.000 0.000 0.246
Tm 0.500 0.500 0.000

ρ, g cm⁻³: 6.58
Magnetization, μB per formula unit: 7.227
Space group: P4/mmm
E_form, eV per atom: 0.0295

---

Record 4
Computed, not measured: a relaxed structure of MnZnRhAu at the PBE-GGA level of DFT.

Unit cell a=4.396 b=4.396 c=4.396 alpha=60.00 beta=60.00 gamma=60.00
Positions (direct):
Zn 0.000 0.000 0.000
Rh 0.750 0.750 0.750
Au 0.250 0.250 0.250
Mn 0.500 0.500 0.500

ρ, g cm⁻³: 11.62
Magnetization, μB per formula unit: 4.411
Space group: F-43m
E_form, eV per atom: -0.2109

---

Record 5
Computed, not measured: a relaxed structure of La3Y2ErS6 at the PBE-GGA level of DFT.

Unit cell a=6.922 b=6.922 c=7.070 alpha=99.40 beta=99.40 gamma=120.11
Positions (direct):
S 0.924 0.594 0.772
S 0.076 0.406 0.228
S 0.594 0.924 0.772
S 0.746 0.746 0.230
S 0.254 0.254 0.770
S 0.406 0.076 0.228
La 0.168 0.832 0.500
La 0.500 0.500 0.500
La 0.832 0.168 0.500
Er 0.000 0.000 0.000
Y 0.333 0.667 0.000
Y 0.667 0.333 0.000

ρ, g cm⁻³: 5.72
Magnetization, μB per formula unit: 0.000
Space group: C2/m
Energy relative to the elements, uncorrected, meV/atom: -2085

---

Record 6
Computed, not measured: a relaxed structure of ThReTc at the PBE-GGA level of DFT.

Unit cell a=3.132 b=3.132 c=6.472 alpha=104.00 beta=104.00 gamma=90.00
Positions (direct):
Re 0.695 0.695 0.390
Th 0.000 0.000 0.000
Tc 0.305 0.305 0.609

ρ, g cm⁻³: 14.37
Magnetization, μB per formula unit: 0.000
Space group: I4mm
E_form, eV per atom: 0.1126

---

Record 7
Computed, not measured: a relaxed structure of SmPuIn2 at the PBE-GGA level of DFT.

Unit cell a=3.358 b=3.358 c=9.497 alpha=90.00 beta=90.00 gamma=90.00
Positions (direct):
In 0.000 0.000 0.249
In 0.000 0.000 0.751
Pu 0.500 0.500 0.000
Sm 0.500 0.500 0.500

ρ, g cm⁻³: 9.68
Magnetization, μB per formula unit: 5.853
Space group: P4/mmm
E_form, eV per atom: -0.3103

---

Record 8
Computed, not measured: a relaxed structure of TaCuSi at the PBE-GGA level of DFT.

Unit cell a=6.252 b=3.715 c=9.300 alpha=90.00 beta=128.04 gamma=90.00
Positions (direct):
Si 0.796 0.500 0.342
Si 0.204 0.000 0.158
Si 0.204 0.500 0.658
Si 0.796 0.000 0.842
Cu 0.418 0.000 0.842
Cu 0.582 0.000 0.158
Cu 0.582 0.500 0.658
Cu 0.418 0.500 0.342
Ta 0.838 0.000 0.577
Ta 0.838 0.500 0.077
Ta 0.162 0.000 0.423
Ta 0.162 0.500 0.923

ρ, g cm⁻³: 10.64
Magnetization, μB per formula unit: 0.000
Space group: C2/m
Energy relative to the elements, uncorrected, meV/atom: -330